1.
# NaCa2I | Alexandria via LeMat-Bulk | GGA-PBE | optimized geometry
data_NaCa2I
_chemical_formula_sum 'Na4 Ca8 I4'
_cell_length_a 8.3898
_cell_length_b 8.3898
_cell_length_c 8.3898
_cell_angle_alpha 90.00
_cell_angle_beta 90.00
_cell_angle_gamma 90.00
_space_group_name_H-M_alt 'F m -3 m'
_space_group_IT_number 225
_space_group_name_Hall '-F 4 2 3'
loop_
_atom_site_label
_atom_site_fract_x
_atom_site_fract_y
_atom_site_fract_z
Na1 0.0000 0.0000 0.0000
Ca1 0.2500 0.2500 0.2500
I1 0.0000 0.0000 0.5000
# **DOS(E_F)**: 14.11 states/eV/cell
# **Spin magnetization**: 0.00 Bohr magnetons per cell
# **Distance to the lowest polymorph of the same formula**: 165 meV per atom

=====

2.
# Ba2Cd15Pd2 | Alexandria via LeMat-Bulk | GGA-PBE | optimized geometry
data_Ba2Cd15Pd2
_chemical_formula_sum 'Ba6 Cd45 Pd6'
_cell_length_a 10.2570
_cell_length_b 10.2570
_cell_length_c 15.0175
_cell_angle_alpha 90.00
_cell_angle_beta 90.00
_cell_angle_gamma 120.00
_space_group_name_H-M_alt 'R -3 m'
_space_group_IT_number 166
_space_group_name_Hall '-R 3 2"'
loop_
_atom_site_label
_atom_site_fract_x
_atom_site_fract_y
_atom_site_fract_z
Ba1 0.0000 0.0000 0.1643
Cd1 0.0000 0.2827 0.5000
Cd2 0.0000 0.5000 0.0000
Cd3 0.0022 0.5011 0.3502
Pd1 0.0000 0.0000 0.3964
# **DOS(E_F)**: 28.57 states/eV/cell
# **Total DFT energy (no corrections)**: -1.672 eV per atom
# **Spin magnetization**: 0.00 Bohr magnetons per cell

=====

3.
# Pa2SnBi7 | Alexandria via LeMat-Bulk | GGA-PBE | optimized geometry
data_Pa2SnBi7
_chemical_formula_sum 'Pa4 Sn2 Bi14'
_cell_length_a 9.6995
_cell_length_b 14.1783
_cell_length_c 5.8508
_cell_angle_alpha 90.00
_cell_angle_beta 90.00
_cell_angle_gamma 90.00
_space_group_name_H-M_alt 'C m m m'
_space_group_IT_number 65
_space_group_name_Hall '-C 2 2'
loop_
_atom_site_label
_atom_site_fract_x
_atom_site_fract_y
_atom_site_fract_z
Pa1 0.0000 0.2155 0.0000
Sn1 0.0000 0.5000 0.5000
Bi1 0.0000 0.0000 0.0000
Bi2 0.0000 0.2687 0.5000
Bi3 0.2010 0.3881 0.0000
# **DOS(E_F)**: 25.48 states/eV/cell
# **Total DFT energy (no corrections)**: -4.677 eV per atom
# **Spin magnetization**: 0.00 Bohr magnetons per cell

=====

4.
# SiTc2Sn | Alexandria via LeMat-Bulk | GGA-PBE | optimized geometry
data_SiTc2Sn
_chemical_formula_sum 'Si1 Tc2 Sn1'
_cell_length_a 3.0776
_cell_length_b 3.0776
_cell_length_c 6.4820
_cell_angle_alpha 90.00
_cell_angle_beta 90.00
_cell_angle_gamma 90.00
_space_group_name_H-M_alt 'P 4/m m m'
_space_group_IT_number 123
_space_group_name_Hall '-P 4 2'
loop_
_atom_site_label
_atom_site_fract_x
_atom_site_fract_y
_atom_site_fract_z
Si1 0.0000 0.0000 0.0000
Tc1 0.5000 0.5000 0.2137
Sn1 0.0000 0.0000 0.5000
# **DOS(E_F)**: 3.13 states/eV/cell
# **Spin magnetization**: 0.00 Bohr magnetons per cell
# **Distance to the lowest polymorph of the same formula**: 0 meV per atom

=====

5.
# CsRb2LiBi | Alexandria via LeMat-Bulk | GGA-PBE | optimized geometry
data_CsRb2LiBi
_chemical_formula_sum 'Cs1 Rb2 Li1 Bi1'
_cell_length_a 6.8877
_cell_length_b 6.8877
_cell_length_c 5.3865
_cell_angle_alpha 90.00
_cell_angle_beta 90.00
_cell_angle_gamma 90.00
_space_group_name_H-M_alt 'P 4/m m m'
_space_group_IT_number 123
_space_group_name_Hall '-P 4 2'
loop_
_atom_site_label
_atom_site_fract_x
_atom_site_fract_y
_atom_site_fract_z
Cs1 0.0000 0.0000 0.0000
Rb1 0.0000 0.5000 0.5000
Li1 0.5000 0.5000 0.5000
Bi1 0.5000 0.5000 0.0000
# **DOS(E_F)**: 2.08 states/eV/cell
# **Spin magnetization**: 0.57 Bohr magnetons per cell
# **Distance to the lowest polymorph of the same formula**: 0 meV per atom

=====

6.
# LiCoPt | Alexandria via LeMat-Bulk | GGA-PBE | optimized geometry
data_LiCoPt
_chemical_formula_sum 'Li1 Co1 Pt1'
_cell_length_a 4.1066
_cell_length_b 4.1066
_cell_length_c 2.6382
_cell_angle_alpha 90.00
_cell_angle_beta 90.00
_cell_angle_gamma 120.00
_space_group_name_H-M_alt 'P 3 m 1'
_space_group_IT_number 156
loop_
_space_group_symop_operation_xyz
'x,y,z'
'-y,x-y,z'
'-x+y,-x,z'
'-y,-x,z'
'-x+y,y,z'
'x,x-y,z'
loop_
_atom_site_label
_atom_site_fract_x
_atom_site_fract_y
_atom_site_fract_z
Li1 0.0000 0.0000 0.0000
Co1 0.3333 0.6667 0.7889
Pt1 0.6667 0.3333 0.3737
# **DOS(E_F)**: 1.87 states/eV/cell
# **Spin magnetization**: 2.16 Bohr magnetons per cell
# **Distance to the lowest polymorph of the same formula**: 10 meV per atom

=====

7.
# CaLa2Ga6 | Alexandria via LeMat-Bulk | GGA-PBE | optimized geometry
data_CaLa2Ga6
_chemical_formula_sum 'Ca1 La2 Ga6'
_cell_length_a 7.4670
_cell_length_b 7.4670
_cell_length_c 4.4540
_cell_angle_alpha 90.00
_cell_angle_beta 90.00
_cell_angle_gamma 120.00
_space_group_name_H-M_alt 'P 6/m m m'
_space_group_IT_number 191
_space_group_name_Hall '-P 6 2'
loop_
_atom_site_label
_atom_site_fract_x
_atom_site_fract_y
_atom_site_fract_z
Ca1 0.0000 0.0000 0.0000
La1 0.3333 0.6667 0.0000
Ga1 0.0000 0.3336 0.5000
# **DOS(E_F)**: 4.84 states/eV/cell
# **Total DFT energy (no corrections)**: -3.964 eV per atom
# **Spin magnetization**: 0.00 Bohr magnetons per cell

=====

8.
# TbGa4Co2Ni | Alexandria via LeMat-Bulk | GGA-PBE | optimized geometry
data_TbGa4Co2Ni
_chemical_formula_sum 'Tb3 Ga12 Co6 Ni3'
_cell_length_a 4.0705
_cell_length_b 4.0705
_cell_length_c 25.6519
_cell_angle_alpha 90.00
_cell_angle_beta 90.00
_cell_angle_gamma 120.00
_space_group_name_H-M_alt 'R -3 m'
_space_group_IT_number 166
_space_group_name_Hall '-R 3 2"'
loop_
_atom_site_label
_atom_site_fract_x
_atom_site_fract_y
_atom_site_fract_z
Tb1 0.0000 0.0000 0.0000
Ga1 0.0000 0.0000 0.1309
Ga2 0.0000 0.0000 0.4035
Co1 0.0000 0.0000 0.2297
Ni1 0.0000 0.0000 0.5000
# **DOS(E_F)**: 16.57 states/eV/cell
# **Total DFT energy (no corrections)**: -4.985 eV per atom
# **Spin magnetization**: 0.00 Bohr magnetons per cell

=====

9.
# SrZr2Pt | Alexandria via LeMat-Bulk | GGA-PBE | optimized geometry
data_SrZr2Pt
_chemical_formula_sum 'Sr1 Zr2 Pt1'
_cell_length_a 3.3871
_cell_length_b 3.4027
_cell_length_c 8.8819
_cell_angle_alpha 90.00
_cell_angle_beta 90.00
_cell_angle_gamma 90.00
_space_group_name_H-M_alt 'P m m 2'
_space_group_IT_number 25
loop_
_space_group_symop_operation_xyz
'x,y,z'
'-x,-y,z'
'-x,y,z'
'x,-y,z'
loop_
_atom_site_label
_atom_site_fract_x
_atom_site_fract_y
_atom_site_fract_z
Sr1 0.0000 0.0000 0.0000
Zr1 0.0000 0.0000 0.5859
Zr2 0.5000 0.5000 0.3568
Pt1 0.5000 0.5000 0.7484
# **DOS(E_F)**: 3.40 states/eV/cell
# **Spin magnetization**: 0.00 Bohr magnetons per cell
# **Distance to the lowest polymorph of the same formula**: 0 meV per atom

=====

10.
# Nd3Al7Co2 | Alexandria via LeMat-Bulk | GGA-PBE | optimized geometry
data_Nd3Al7Co2
_chemical_formula_sum 'Nd6 Al14 Co4'
_cell_length_a 4.5407
_cell_length_b 22.8635
_cell_length_c 4.5713
_cell_angle_alpha 90.00
_cell_angle_beta 90.00
_cell_angle_gamma 90.00
_space_group_name_H-M_alt 'C m m m'
_space_group_IT_number 65
_space_group_name_Hall '-C 2 2'
loop_
_atom_site_label
_atom_site_fract_x
_atom_site_fract_y
_atom_site_fract_z
Nd1 0.0000 0.0000 0.0000
Nd2 0.0000 0.1871 0.0000
Al1 0.0000 0.0949 0.5000
Al2 0.0000 0.2884 0.5000
Al3 0.0000 0.4052 0.0000
Al4 0.0000 0.5000 0.5000
Co1 0.0000 0.3968 0.5000
# **DOS(E_F)**: 13.10 states/eV/cell
# **Total DFT energy (no corrections)**: -4.986 eV per atom
# **Spin magnetization**: 0.00 Bohr magnetons per cell

=====

11.
# Rb2LiHgBi2 | Alexandria via LeMat-Bulk | GGA-PBE | optimized geometry
data_Rb2LiHgBi2
_chemical_formula_sum 'Rb8 Li4 Hg4 Bi8'
_cell_length_a 7.1167
_cell_length_b 17.1504
_cell_length_c 7.2814
_cell_angle_alpha 90.00
_cell_angle_beta 90.00
_cell_angle_gamma 90.00
_space_group_name_H-M_alt 'I b a m'
_space_group_IT_number 72
_space_group_name_Hall '-I 2 2c'
loop_
_atom_site_label
_atom_site_fract_x
_atom_site_fract_y
_atom_site_fract_z
Rb1 0.2423 0.1667 0.0000
Li1 0.0000 0.5000 0.2500
Hg1 0.0000 0.0000 0.2500
Bi1 0.2445 0.4036 0.0000
# **DOS(E_F)**: 16.89 states/eV/cell
# **Total DFT energy (no corrections)**: -2.295 eV per atom
# **Spin magnetization**: 0.00 Bohr magnetons per cell

=====

12.
# Tl2Ir2Pt | Alexandria via LeMat-Bulk | GGA-PBE | optimized geometry
data_Tl2Ir2Pt
_chemical_formula_sum 'Tl4 Ir4 Pt2'
_cell_length_a 6.8513
_cell_length_b 6.8513
_cell_length_c 4.1306
_cell_angle_alpha 90.00
_cell_angle_beta 90.00
_cell_angle_gamma 90.00
_space_group_name_H-M_alt 'P 4/m b m'
_space_group_IT_number 127
_space_group_name_Hall '-P 4 2ab'
loop_
_atom_site_label
_atom_site_fract_x
_atom_site_fract_y
_atom_site_fract_z
Tl1 0.1771 0.3229 0.0000
Ir1 0.1299 0.6299 0.5000
Pt1 0.0000 0.0000 0.5000
# **DOS(E_F)**: 4.42 states/eV/cell
# **Total DFT energy (no corrections)**: -5.358 eV per atom
# **Spin magnetization**: 0.00 Bohr magnetons per cell

=====

> The highest spin magnetization belongs to which entry?

LiCoPt

=====

Please write out number 6 again, unchanged.
# LiCoPt | Alexandria via LeMat-Bulk | GGA-PBE | optimized geometry
data_LiCoPt
_chemical_formula_sum 'Li1 Co1 Pt1'
_cell_length_a 4.1066
_cell_length_b 4.1066
_cell_length_c 2.6382
_cell_angle_alpha 90.00
_cell_angle_beta 90.00
_cell_angle_gamma 120.00
_space_group_name_H-M_alt 'P 3 m 1'
_space_group_IT_number 156
loop_
_space_group_symop_operation_xyz
'x,y,z'
'-y,x-y,z'
'-x+y,-x,z'
'-y,-x,z'
'-x+y,y,z'
'x,x-y,z'
loop_
_atom_site_label
_atom_site_fract_x
_atom_site_fract_y
_atom_site_fract_z
Li1 0.0000 0.0000 0.0000
Co1 0.3333 0.6667 0.7889
Pt1 0.6667 0.3333 0.3737
# **DOS(E_F)**: 1.87 states/eV/cell
# **Spin magnetization**: 2.16 Bohr magnetons per cell
# **Distance to the lowest polymorph of the same formula**: 10 meV per atom

=====

> Which formula does entry 12 have?

Tl2Ir2Pt